(1)
Density functional theory data (PBE) for crystalline MgMnN at its relaxed geometry.

Output
Energy above the most stable polymorph in this dataset, meV per atom: 40
Calculated volume, Å³/f.u.: 34
ΔE_f (raw), eV per atom: -0.314

Cell lengths 2.9055, 2.9055, 14.0716 Å; angles 90.00, 90.00, 120.00 degrees
With the nearest neighbours (Å) after each atom.
Fractional coordinates of all 9 atoms:
Mg 0.3333 0.6667 0.0015  3 N 2.18
Mg 0.0000 0.0000 0.3349  3 N 2.18
Mg 0.6667 0.3333 0.6682  3 N 2.18
N 0.3333 0.6667 0.2362  3 Mn 1.94
N 0.0000 0.0000 0.5695  3 Mn 1.94
N 0.6667 0.3333 0.9029  3 Mn 1.94
Mn 0.0000 0.0000 0.8342  3 N 1.94
Mn 0.6667 0.3333 0.1675  3 N 1.94
Mn 0.3333 0.6667 0.5009  3 N 1.94

(2)
Density functional theory data (PBE) for crystalline Ac2P2PtN6 at its relaxed geometry.

Output
Calculated volume, Å³/f.u.: 147
ΔE_f (raw), eV per atom: -0.589

Cell lengths 5.5927, 5.5927, 6.3123 Å; angles 63.70, 63.70, 60.00 degrees
With the nearest neighbours (Å) after each atom.
Fractional coordinates of all 11 atoms:
Pt 0.0000 0.0000 0.0000  6 N 2.12
Ac 0.2255 0.2255 0.3235  9 N 2.81-2.82
Ac 0.7745 0.7745 0.6765  9 N 2.81-2.82
N 0.2484 0.7491 0.2533  1 P 1.63
N 0.7516 0.2509 0.7467  1 P 1.63
N 0.2509 0.2509 0.7467  1 P 1.63
N 0.7491 0.2484 0.2533  1 P 1.63
N 0.2509 0.7516 0.7467  1 P 1.63
N 0.7491 0.7491 0.2533  1 P 1.63
P 0.5680 0.5680 0.2961  3 N 1.63
P 0.4320 0.4320 0.7039  3 N 1.63

(3)
Density functional theory data (PBE) for crystalline Ga2PdRh at its relaxed geometry.

Output
DFT formation energy, eV per atom: -0.223
Calculated volume, Å³/f.u.: 67

Cell lengths 4.0136, 4.0136, 8.8261 Å; angles 76.86, 76.86, 90.00 degrees
With the nearest neighbours (Å) after each atom.
Fractional coordinates of all 8 atoms:
Rh 0.5000 0.5000 0.0000  4 Ga 2.51
Rh 0.2500 0.7500 0.5000  4 Ga 2.51
Ga 0.3750 0.3838 0.7500  2 Rh 2.51, 2 Pd 2.54, 2 Ga 2.79
Ga 0.8750 0.8662 0.7500  2 Rh 2.51, 2 Pd 2.54, 2 Ga 2.79
Ga 0.6162 0.1250 0.2500  2 Rh 2.51, 2 Pd 2.54, 2 Ga 2.79
Ga 0.1338 0.6250 0.2500  2 Rh 2.51, 2 Pd 2.54, 2 Ga 2.79
Pd 0.0000 0.0000 0.0000  4 Ga 2.54, 4 Rh 2.84
Pd 0.7500 0.2500 0.5000  4 Ga 2.54, 4 Rh 2.84

(4)
Density functional theory data (PBE) for crystalline Zr2CdMo at its relaxed geometry.

Output
DFT formation energy, eV per atom: 0.144
Calculated volume, Å³/f.u.: 81

Cell lengths 3.5412, 3.5426, 6.4602 Å; angles 90.00, 90.00, 90.00 degrees
With the nearest neighbours (Å) after each atom.
Fractional coordinates of all 4 atoms:
Zr 0.5000 0.5000 0.2482  4 Cd 3.03, 4 Zr 3.06, 2 Mo 3.13-3.33
Zr 0.0000 0.0000 0.9757  4 Mo 2.85, 1 Cd 2.99, 4 Zr 3.06
Cd 0.0000 0.0000 0.5123  4 Mo 2.99, 5 Zr 2.99-3.03
Mo 0.5000 0.5000 0.7638  5 Zr 2.85-3.13, 4 Cd 2.99

(5)
Density functional theory data (PBE) for crystalline SbTeH at its relaxed geometry.

Output
Energy above the most stable polymorph in this dataset, meV per atom: 54
Calculated volume, Å³/f.u.: 74

Cell lengths 3.0934, 6.1654, 7.7135 Å; angles 90.00, 90.00, 90.00 degrees
With the nearest neighbours (Å) after each atom.
Fractional coordinates of all 6 atoms:
H 0.0000 0.5000 0.7800  1 Sb 1.83
H 0.0000 0.0000 0.2800  1 Sb 1.83
Te 0.0000 0.5000 0.0859  1 H 2.36
Te 0.0000 0.0000 0.5859  1 H 2.36
Sb 0.0000 0.5000 0.5432  1 H 1.83
Sb 0.0000 0.0000 0.0432  1 H 1.83

(6)
Density functional theory data (PBE) for crystalline Ba3Mg at its relaxed geometry.

Output
DFT formation energy, eV per atom: 0.054
Energy above the most stable polymorph in this dataset, meV per atom: 69
Calculated volume, Å³/f.u.: 201

Cell lengths 6.5041, 6.5041, 10.5441 Å; angles 72.04, 72.04, 90.00 degrees
With the nearest neighbours (Å) after each atom.
Fractional coordinates of all 8 atoms:
Mg 0.3645 0.3645 0.2709  8 Ba 3.91-4.15
Mg 0.6355 0.6355 0.7291  8 Ba 3.91-4.15
Ba 0.1270 0.1270 0.7460  8 Ba 4.00-4.05
Ba 0.2500 0.7500 0.5000  4 Mg 3.91, 4 Ba 4.00
Ba 0.7500 0.2500 0.5000  4 Mg 3.91, 4 Ba 4.00
Ba 0.8730 0.8730 0.2540  8 Ba 4.00-4.05
Ba 0.0000 0.5000 0.0000  4 Ba 4.05, 4 Mg 4.15
Ba 0.5000 0.0000 0.0000  4 Ba 4.05, 4 Mg 4.15

(7)
Density functional theory data (PBE) for crystalline CsCo at its relaxed geometry.

Output
DFT formation energy, eV per atom: 1.720
Energy above the most stable polymorph in this dataset, meV per atom: 1030
Calculated volume, Å³/f.u.: 147

Cell lengths 8.3758, 8.3758, 8.3758 Å; angles 90.00, 90.00, 90.00 degrees
With the nearest neighbours (Å) after each atom.
Fractional coordinates of all 8 atoms:
Co 0.7500 0.2500 0.7500  4 Cs 3.63
Co 0.2500 0.2500 0.2500  4 Cs 3.63
Co 0.7500 0.7500 0.2500  4 Cs 3.63
Co 0.2500 0.7500 0.7500  4 Cs 3.63
Cs 0.0000 0.0000 0.0000  4 Co 3.63
Cs 0.5000 0.0000 0.5000  4 Co 3.63
Cs 0.5000 0.5000 0.0000  4 Co 3.63
Cs 0.0000 0.5000 0.5000  4 Co 3.63

(8)
Density functional theory data (PBE) for crystalline Ba2AlZnAu6 at its relaxed geometry.

Output
DFT formation energy, eV per atom: -0.559
Calculated volume, Å³/f.u.: 251

Cell lengths 7.2937, 6.8791, 7.2425 Å; angles 61.81, 56.92, 90.06 degrees
With the nearest neighbours (Å) after each atom.
Fractional coordinates of all 10 atoms:
Au 0.7490 0.2508 0.9216  1 Al 2.52, 1 Zn 2.62
Au 0.2510 0.7492 0.0784  1 Al 2.52, 1 Zn 2.62
Au 0.7497 0.8283 0.9206  1 Al 2.52, 1 Zn 2.62
Au 0.8288 0.7495 0.5015  1 Al 2.53, 1 Zn 2.62
Au 0.1712 0.2505 0.4985  1 Al 2.53, 1 Zn 2.62
Au 0.2503 0.1717 0.0794  1 Al 2.52, 1 Zn 2.62
Ba 0.7186 0.2815 0.4374  12 Au 3.54-3.76
Ba 0.2815 0.7185 0.5626  12 Au 3.54-3.76
Zn 0.0000 0.0000 0.0000  6 Au 2.62
Al 0.5000 0.5000 0.0000  6 Au 2.52-2.53